DFT (PBE) results for a geometry-optimized Be2SiP structure.

The uncorrected formation energy comes out at 168 kJ/mol of formula units. Its energy above the lowest structure with this stoichiometry is 407.8 meV per atom. The calculation puts the calculated volume at 11.57 A^3/atom. The calculation puts the final energy at -16.546 eV/cell.

The space group is Pmmm (No. 47) and the conventional cell measures 3.3269, 3.3466 and 4.1555 Å, with angles of 90.00, 90.00 and 90.00 degrees. The inequivalent atoms are Be at (0.0000, 0.0000, 0.0000), Be at (0.5000, 0.0000, 0.5000), Si at (0.0000, 0.5000, 0.5000) and P at (0.5000, 0.5000, 0.0000).